Entry 1:
Below is crystalline Y2ZnAg at its relaxed geometry, with properties calculated at the PBE-GGA level.

The space group is Immm (No. 71) and the conventional cell measures 3.2466, 5.3762 and 12.3396 Å, with angles of 90.00, 90.00 and 90.00 degrees. The inequivalent atoms are Y at (0.0000, 0.0000, 0.2318), Zn at (0.0000, 0.0000, 0.0000) and Ag at (0.0000, 0.0000, 0.5000).


Entry 2:
Below is crystalline YZn12Ag4 at its relaxed geometry, with properties calculated at the PBE-GGA level.

The space group is Im-3 (No. 204) and the conventional cell measures 8.8482, 8.8482 and 8.8482 Å, with angles of 90.00, 90.00 and 90.00 degrees. The inequivalent atoms are Y at (0.0000, 0.0000, 0.0000), Zn at (0.0000, 0.1456, 0.3571) and Ag at (0.2500, 0.2500, 0.2500).


| no. | E_tot (eV/atom) |
| --- | --- |
| 1 | -3.72 |
| 2 | -1.75 |